1.
NdTl3Ag3 | PBE | relaxed

Computed properties:
- total magnetization (μB per cell) = 0.00
- ΔH_f (0 K) (eV/atom) = 0.47
- SG = Pm-3n

Cell lengths 7.667, 7.667, 7.667 Å; angles 90.00, 90.00, 90.00 degrees
Fractional positions:
Ag1 0.500 0.000 0.750
Ag2 0.500 0.000 0.250
Ag3 0.750 0.500 0.000
Ag4 0.000 0.750 0.500
Ag5 0.250 0.500 0.000
Ag6 0.000 0.250 0.500
Tl1 0.500 0.250 0.000
Tl2 0.500 0.750 0.000
Tl3 0.750 0.000 0.500
Tl4 0.000 0.500 0.250
Tl5 0.250 0.000 0.500
Tl6 0.000 0.500 0.750
Nd1 0.000 0.000 0.000
Nd2 0.500 0.500 0.500

---

2.
Nd3Tl2Ag2 | PBE | relaxed

Computed properties:
- total magnetization (μB per cell) = 0.49
- ΔH_f (0 K) (eV/atom) = -0.32
- SG = Cmmm

Cell lengths 4.681, 3.541, 11.650 Å; angles 90.00, 78.41, 90.00 degrees
Fractional positions:
Tl1 0.420 0.500 0.160
Tl2 0.580 0.500 0.840
Ag1 0.716 0.500 0.568
Ag2 0.284 0.500 0.432
Nd1 0.000 0.000 0.000
Nd2 0.839 0.000 0.322
Nd3 0.161 0.000 0.678

---

3.
Nd3TlAg5 | PBE | relaxed

Computed properties:
- total magnetization (μB per cell) = 0.00
- ΔH_f (0 K) (eV/atom) = -0.22
- SG = P6_3/mcm

Cell lengths 6.371, 8.988, 8.989 Å; angles 120.00, 90.00, 90.00 degrees
Fractional positions:
Ag1 0.750 0.330 0.000
Ag2 0.750 0.000 0.330
Ag3 0.250 0.000 0.670
Ag4 0.500 0.667 0.333
Ag5 0.250 0.670 0.000
Ag6 0.250 0.330 0.330
Ag7 0.000 0.333 0.667
Ag8 0.500 0.333 0.667
Ag9 0.000 0.667 0.333
Ag10 0.750 0.670 0.670
Tl1 0.000 0.000 0.000
Tl2 0.500 0.000 0.000
Nd1 0.250 0.339 0.000
Nd2 0.250 0.000 0.339
Nd3 0.750 0.339 0.339
Nd4 0.750 0.661 0.000
Nd5 0.750 0.000 0.661
Nd6 0.250 0.661 0.661

---

> Look up the total magnetization of the second one.

0.49 μB per cell